## CoSb2F (GGA+U)

Data for an optimized crystal structure of CoSb2F.

The structure in POSCAR format:
```
CoSb2F
1.0
-2.705 2.705 6.222
2.705 -2.705 6.222
2.705 2.705 -6.222
Co Sb F
2 4 2
Cartesian
0.000 0.000 0.000
0.000 2.705 3.111
4.058 1.113 -1.556
1.113 1.353 1.556
-1.353 1.592 4.667
1.592 1.353 7.778
2.705 0.000 3.111
0.000 0.000 6.222
```

Summary:
Space group ... No. 122
Magnetic moment ... 0.000 μB/f.u.
Crystal system ... tetragonal
Raw total energy ... -3.887 eV per atom